A plane-wave DFT calculation with GGA-PBE was carried out for crystalline HoSbIr at its relaxed geometry.

Lattice parameters (Å, degrees): 5.304 5.304 5.304 137.45 137.45 61.75
Fractional coordinates of all 3 atoms:
Ho (0.000, 0.000, 0.000)
Sb (0.678, 0.678, 0.000)
Ir (0.380, 0.380, 0.000)

Summary:
The density of states at the Fermi level is 1.9 states/eV per cell. Its crystal system is tetragonal. The value obtained for the uncorrected formation energy is -360.0 meV/atom. As for the space group: I4mm (107).

---

A plane-wave DFT calculation with GGA-PBE was carried out for crystalline ErMn3P3 at its relaxed geometry.

Lattice parameters (Å, degrees): 6.211 6.211 6.211 90.00 90.00 90.00
Fractional coordinates of all 14 atoms:
Er (0.000, 0.000, 0.000)
Er (0.500, 0.500, 0.500)
Mn (0.000, 0.250, 0.500)
Mn (0.000, 0.750, 0.500)
Mn (0.250, 0.500, 0.000)
Mn (0.500, 0.000, 0.250)
Mn (0.500, 0.000, 0.750)
Mn (0.750, 0.500, 0.000)
P (0.000, 0.500, 0.250)
P (0.000, 0.500, 0.750)
P (0.250, 0.000, 0.500)
P (0.500, 0.250, 0.000)
P (0.500, 0.750, 0.000)
P (0.750, 0.000, 0.500)

Summary:
The density of states at the Fermi level is 8.2 states/eV per cell. Its crystal system is cubic. As for the space group: Pm-3n (223).

---

A plane-wave DFT calculation with GGA-PBE was carried out for crystalline CsTl12Au5 at its relaxed geometry.

Lattice parameters (Å, degrees): 8.920 8.920 8.920 118.99 112.03 98.06
Fractional coordinates of all 18 atoms:
Cs (0.000, 0.000, 0.000)
Tl (0.104, 0.808, 0.296)
Tl (0.236, 0.320, 0.556)
Tl (0.236, 0.680, 0.916)
Tl (0.272, 0.078, 0.805)
Tl (0.272, 0.467, 0.195)
Tl (0.488, 0.192, 0.296)
Tl (0.512, 0.808, 0.704)
Tl (0.728, 0.533, 0.805)
Tl (0.728, 0.922, 0.195)
Tl (0.764, 0.320, 0.084)
Tl (0.764, 0.680, 0.444)
Tl (0.896, 0.192, 0.704)
Au (0.124, 0.624, 0.500)
Au (0.500, 0.152, 0.652)
Au (0.500, 0.500, 0.000)
Au (0.500, 0.848, 0.348)
Au (0.876, 0.376, 0.500)

Summary:
The density of states at the Fermi level is 8.8 states/eV per cell. Its crystal system is orthorhombic. As for the space group: Immm (71).

---

Number 1: uncorrected energy -18.64 eV for the cell shown. Number 2: uncorrected energy -100.86 eV for the cell shown. Number 3: uncorrected energy -45.96 eV for the cell shown.